(1)
Compound: MgTaTl2
Source: Alexandria via LeMat-Bulk
Functional: PBE
Structure: relaxed

```
MgTaTl2
1.0
3.1804 -0.0033 0.0000
-1.3945 2.8584 0.0000
0.0000 0.0000 9.9031
Mg Ta Tl
1 1 2
Cartesian
0.8929 1.4276 2.4758
0.8929 1.4276 7.4273
0.0000 0.0000 9.8949
0.0000 0.0000 4.9597
```

Output
Final energy in eV per atom: -4.14
Energy relative to the elements in meV per atom: 404
Crystal system: orthorhombic
DOS at the Fermi energy in states/eV/cell: 2.3


(2)
Compound: YZrSc2Mn
Source: Alexandria via LeMat-Bulk
Functional: PBE
Structure: relaxed

```
YZrSc2Mn
1.0
5.0195 0.0000 0.0000
0.0000 5.0195 0.0000
0.0000 0.0000 4.8022
Y Sc Mn Zr
1 2 1 1
Cartesian
2.5097 2.5097 2.4011
0.0000 2.5097 0.0000
2.5097 0.0000 0.0000
0.0000 0.0000 0.0000
0.0000 0.0000 2.4011
```

Output
Final energy in eV per atom: -7.23
Energy relative to the elements in meV per atom: 141
Crystal system: tetragonal
DOS at the Fermi energy in states/eV/cell: 5.9